## Ba3Sr (PBEsol)

Data for Ba3Sr after structural relaxation.

a = 4.320 Å, b = 7.485 Å, c = 7.504 Å
α = 99.83°, β = 106.73°, γ = 90.00°
Positions (direct):
Ba1 0.250 0.752 0.501
Ba2 0.750 0.248 0.499
Ba3 0.500 0.500 0.000
Sr1 0.000 0.000 0.000

Properties
- ΔH_f (0 K): 18 meV per atom
- Offset from the most stable computed form: 0.019 eV/atom